[1]
VASP calculation (GGA-PBE) on a relaxed KAl crystal.

Values from the calculation:
Its symmetry is No. 186. The formation energy from the elements comes out at 1.261 eV/f.u.

Lattice parameters (Å, degrees): 3.4408 3.4408 12.6218 90.00 90.00 120.00
Fractional positions:
1 Al 0.3333 0.6667 0.0520
2 Al 0.6667 0.3333 0.5520
3 K 0.3333 0.6667 0.3189
4 K 0.6667 0.3333 0.8189



[2]
VASP calculation (GGA-PBE) on a relaxed Pm7Sm6Ho16 crystal.

Values from the calculation:
Its symmetry is No. 225. The formation energy from the elements comes out at 7.055 eV/f.u.

Lattice parameters (Å, degrees): 11.2138 11.2138 11.2138 60.00 60.00 60.00
Fractional positions:
1 Ho 0.1290 0.6131 0.1290
2 Pm 0.0000 0.0000 0.0000
3 Ho 0.8710 0.8710 0.3869
4 Ho 0.3869 0.8710 0.8710
5 Ho 0.6502 0.6502 0.6502
6 Ho 0.6502 0.0494 0.6502
7 Sm 0.7370 0.2630 0.7370
8 Pm 0.5000 0.5000 0.0000
9 Pm 0.0000 0.5000 0.0000
10 Ho 0.9506 0.3498 0.3498
11 Sm 0.7370 0.2630 0.2630
12 Sm 0.7370 0.7370 0.2630
13 Sm 0.2630 0.7370 0.2630
14 Ho 0.0494 0.6502 0.6502
15 Ho 0.3498 0.3498 0.9506
16 Pm 0.0000 0.0000 0.5000
17 Sm 0.2630 0.2630 0.7370
18 Ho 0.3498 0.9506 0.3498
19 Ho 0.3498 0.3498 0.3498
20 Pm 0.5000 0.0000 0.0000
21 Pm 0.0000 0.5000 0.5000
22 Ho 0.1290 0.1290 0.1290
23 Ho 0.6131 0.1290 0.1290
24 Sm 0.2630 0.7370 0.7370
25 Pm 0.5000 0.0000 0.5000
26 Ho 0.6502 0.6502 0.0494
27 Ho 0.8710 0.3869 0.8710
28 Ho 0.8710 0.8710 0.8710
29 Ho 0.1290 0.1290 0.6131



[3]
VASP calculation (GGA-PBE) on a relaxed Tl2CrGaCl6 crystal.

Values from the calculation:
Its symmetry is No. 2. The formation energy (no corrections) comes out at -1.004 eV per atom.

Lattice parameters (Å, degrees): 7.4853 7.4813 7.1871 58.50 58.58 59.90
Last column: magnetic moment on the atom in μB.
Fractional positions:
1 Cl 0.1056 0.4766 0.8127  -0.02
2 Cl 0.6042 0.1032 0.8149  -0.02
3 Cl 0.1542 0.0282 0.2924  -0.02
4 Cl 0.5266 0.1557 0.2905  -0.02
5 Tl 0.0761 0.0756 0.7711  0.01
6 Cl 0.0281 0.5290 0.2882  -0.02
7 Cr 0.3161 0.3161 0.0516  2.87
8 Ga 0.8162 0.8163 0.5513  -0.03
9 Cl 0.4782 0.6041 0.8107  -0.02
10 Tl 0.5562 0.5568 0.3319  0.01



[4]
VASP calculation (GGA-PBE) on a relaxed Na2BeSiAu6 crystal.

Values from the calculation:
Its symmetry is No. 2. The formation energy (no corrections) comes out at -0.215 eV per atom.

Lattice parameters (Å, degrees): 6.5471 6.7761 6.7925 60.37 58.43 89.86
Fractional positions:
1 Na 0.3624 0.7878 0.4250
2 Au 0.8201 0.7477 0.5079
3 Na 0.6376 0.2122 0.5750
4 Au 0.8223 0.3296 0.9243
5 Au 0.1799 0.2523 0.4921
6 Au 0.8231 0.7477 0.9225
7 Au 0.1769 0.2523 0.0775
8 Si 0.0000 0.0000 0.0000
9 Be 0.5000 0.5000 0.0000
10 Au 0.1777 0.6704 0.0757